Below is crystalline AlTc2Ni at its relaxed geometry, with properties calculated at the GGA-PBE level.

- Total DFT energy (no corrections): -7.71 eV/atom
- Spin magnetization: 0.0 μB per formula unit
- ρ: 8.61 Mg/m³
- Formation energy: -144 meV per atom

a = 4.0602 Å, b = 2.7161 Å, c = 5.1113 Å
α = 74.51°, β = 90.00°, γ = 90.00°
Closest atoms and distances in Å follow each position.
Sites, in units of the cell vectors:
1 Ni 0.5000 0.5642 0.7460  2 Al 2.34, 1 Tc 2.50
2 Tc 0.0000 0.9414 0.9914  3 Al 2.55-2.74, 6 Tc 2.72-2.77, 4 Ni 2.72-2.73
3 Tc 0.5000 0.3113 0.2538  3 Ni 2.50-2.78, 6 Tc 2.72-2.77, 4 Al 2.75
4 Al 0.0000 0.6831 0.5089  2 Ni 2.34, 1 Tc 2.55